[1]
SrBeIn2As after structural relaxation. Source: Alexandria, functional PBE.

Formation energy from the elements (eV/f.u.): 0.11
Total moment (μB per formula unit): 0.000

Structure (CIF):
```
data_SrBeIn2As
_symmetry_space_group_name_H-M 'P 4/m m m'
_symmetry_Int_Tables_number 123
_symmetry_space_group_name_Hall '-P 4 2'
_cell_length_a 4.710
_cell_length_b 4.710
_cell_length_c 5.789
_cell_angle_alpha 90.00
_cell_angle_beta 90.00
_cell_angle_gamma 90.00
loop_
_atom_site_label
_atom_site_fract_x
_atom_site_fract_y
_atom_site_fract_z
_atom_site_occupancy
Sr1 0.000 0.000 0.000 1
Be1 0.000 0.000 0.500 1
In1 0.000 0.500 0.500 1
As1 0.500 0.500 0.000 1
```

[2]
YBeInAs2 after structural relaxation. Source: Alexandria, functional PBE.

Formation energy from the elements (eV/f.u.): 1.88
Total moment (μB per formula unit): 0.000

Structure (CIF):
```
data_YBeInAs2
_symmetry_space_group_name_H-M 'P 4/m m m'
_symmetry_Int_Tables_number 123
_symmetry_space_group_name_Hall '-P 4 2'
_cell_length_a 5.333
_cell_length_b 5.333
_cell_length_c 4.351
_cell_angle_alpha 90.00
_cell_angle_beta 90.00
_cell_angle_gamma 90.00
loop_
_atom_site_label
_atom_site_fract_x
_atom_site_fract_y
_atom_site_fract_z
_atom_site_occupancy
Y1 0.000 0.000 0.000 1
Be1 0.500 0.500 0.000 1
In1 0.500 0.500 0.500 1
As1 0.000 0.500 0.500 1
```

[3]
BeAsIr after structural relaxation. Source: Alexandria, functional PBE.

Formation energy from the elements (eV/f.u.): 0.02
Total moment (μB per formula unit): 0.000

Structure (CIF):
```
data_BeAsIr
_symmetry_space_group_name_H-M 'I 4 m m'
_symmetry_Int_Tables_number 107
_symmetry_space_group_name_Hall 'I 4 -2'
_cell_length_a 2.862
_cell_length_b 2.862
_cell_length_c 11.453
_cell_angle_alpha 90.00
_cell_angle_beta 90.00
_cell_angle_gamma 90.00
loop_
_atom_site_label
_atom_site_fract_x
_atom_site_fract_y
_atom_site_fract_z
_atom_site_occupancy
Be1 0.000 0.000 0.000 1
As1 0.000 0.000 0.258 1
Ir1 0.000 0.000 0.603 1
```